Ca2SbW after structural relaxation, computed with PBE-GGA.

```
data_Ca2SbW
_chemical_formula_sum 'Ca2 Sb1 W1'
_cell_length_a 5.326
_cell_length_b 5.326
_cell_length_c 6.212
_cell_angle_alpha 82.46
_cell_angle_beta 82.46
_cell_angle_gamma 34.30
_symmetry_space_group_name_H-M 'P 1'
_symmetry_Int_Tables_number 1
_symmetry_space_group_name_Hall 'P 1'
loop_
_atom_site_label
_atom_site_fract_x
_atom_site_fract_y
_atom_site_fract_z
_atom_site_occupancy
Sb1 0.750 0.750 0.750 1
W1 0.250 0.250 0.250 1
Ca1 0.999 0.999 0.008 1
Ca2 0.501 0.501 0.492 1
```

- Space group: C2/m
- Total magnetic moment: 0.085 μB per atom
- Formation energy without anion corrections: 0.579 eV/atom
- DFT total energy: -4.690 eV per atom